Entry 1:
Density functional theory data (PBE) for a geometry-optimized LaPrHoZn structure.

abc: 3.6608 3.6608 8.8992
angles: 90.00 90.00 90.00
With the nearest neighbours (Å) after each atom.
Space group P4mm (No. 99)
Inequivalent atoms, fractional coordinates:
La  0.0000  0.0000  0.0000 [1 per cell]  4 Zn 3.28, 1 Ho 3.63, 4 La 3.66
Pr  0.5000  0.5000  0.3077 [1 per cell]  4 Ho 3.62, 4 Pr 3.66, 4 La 3.77
Ho  0.0000  0.0000  0.5926 [1 per cell]  4 Zn 3.05
Zn  0.5000  0.5000  0.7739 [1 per cell]  4 Ho 3.05, 4 La 3.28

## Properties
**ΔH_f (0 K)**: -0.153 eV per atom
**Raw total energy**: -0.297 Ry/atom

Entry 2:
Density functional theory data (PBE) for a geometry-optimized Mg2HIrRu structure.

abc: 4.3581 4.3581 3.3805
angles: 90.00 90.00 90.00
With the nearest neighbours (Å) after each atom.
Space group P4/mmm (No. 123)
Inequivalent atoms, fractional coordinates:
Mg  0.0000  0.5000  0.0000 [2 per cell]  2 H 2.18
H  0.0000  0.0000  0.0000 [1 per cell]  2 Ru 1.69
Ir  0.5000  0.5000  0.5000 [1 per cell]  8 Mg 2.76, 4 Ru 3.08
Ru  0.0000  0.0000  0.5000 [1 per cell]  2 H 1.69

## Properties
**Raw total energy**: -0.370 Ry/atom

Entry 3:
Density functional theory data (PBE) for a geometry-optimized Pm2NbI structure.

abc: 3.5008 3.5008 32.9962
angles: 90.00 90.00 120.00
With the nearest neighbours (Å) after each atom.
Space group R-3m (No. 166, hexagonal axes)
Inequivalent atoms, fractional coordinates:
Pm  0.0000  0.0000  0.0885 [6 per cell]  1 Nb 2.92
Nb  0.0000  0.0000  0.0000 [3 per cell]  2 Pm 2.92
I  0.0000  0.0000  0.5000 [3 per cell]  6 Pm 3.28, 6 I 3.50

## Properties
**ΔE_f (raw)**: 363.1 meV per atom
**Raw total energy**: -0.361 Ry/atom

Entry 4:
Density functional theory data (PBE) for a geometry-optimized Zn2SiIr structure.

abc: 5.0059 7.6969 2.9542
angles: 90.00 90.00 90.00
With the nearest neighbours (Å) after each atom.
Space group Cmmm (No. 65)
Inequivalent atoms, fractional coordinates:
Zn  0.2500  0.2500  0.0000 [4 per cell]  2 Zn 2.50, 4 Ir 2.73, 4 Si 2.73
Si  0.0000  0.0000  0.5000 [2 per cell]  2 Ir 2.50, 8 Zn 2.73
Ir  0.0000  0.5000  0.5000 [2 per cell]  2 Si 2.50, 8 Zn 2.73

## Properties
**ΔE_f (raw)**: -79.0 meV per atom
**Raw total energy**: -0.315 Ry/atom

Entry 5:
Density functional theory data (PBE) for a geometry-optimized Ac2NdH structure.

abc: 3.7153 3.7153 9.2001
angles: 90.00 90.00 90.00
With the nearest neighbours (Å) after each atom.
Space group P4/mmm (No. 123)
Inequivalent atoms, fractional coordinates:
Ac  0.0000  0.0000  0.1956 [2 per cell]  4 H 3.18
Nd  0.5000  0.5000  0.5000 [1 per cell]  4 Nd 3.72, 8 Ac 3.84
H  0.5000  0.5000  0.0000 [1 per cell]  8 Ac 3.18

## Properties
**Raw total energy**: -0.290 Ry/atom

Entry 6:
Density functional theory data (PBE) for a geometry-optimized NaAlPd structure.

abc: 5.0358 4.5416 5.8117
angles: 90.00 105.02 90.00
With the nearest neighbours (Å) after each atom.
Space group P2_1/m (No. 11)
Inequivalent atoms, fractional coordinates:
Na  0.2239  0.2500  0.4348 [2 per cell]  2 Pd 2.91-2.97
Al  0.3425  0.7500  0.9941 [2 per cell]  4 Pd 2.49-2.57, 2 Al 2.76
Pd  0.1332  0.2500  0.9197 [2 per cell]  4 Al 2.49-2.57

## Properties
**ΔH_f (0 K)**: -0.441 eV per atom
**Raw total energy**: -0.284 Ry/atom

Entry 7:
Density functional theory data (PBE) for a geometry-optimized CsSbTe2Se structure.

abc: 5.7664 5.7664 5.6457
angles: 90.00 90.00 90.00
With the nearest neighbours (Å) after each atom.
Space group P4/mmm (No. 123)
Inequivalent atoms, fractional coordinates:
Cs  0.0000  0.0000  0.0000 [1 per cell]  8 Te 4.04, 4 Sb 4.08
Sb  0.5000  0.5000  0.0000 [1 per cell]  2 Se 2.82
Te  0.0000  0.5000  0.5000 [2 per cell]  2 Se 2.88
Se  0.5000  0.5000  0.5000 [1 per cell]  2 Sb 2.82, 4 Te 2.88

## Properties
**ΔE_f (raw)**: -6.7 meV per atom
**Raw total energy**: -0.217 Ry/atom

Entry 8:
Density functional theory data (PBE) for a geometry-optimized TbHoGe structure.

abc: 4.3527 4.3527 8.1206
angles: 90.00 90.00 90.00
With the nearest neighbours (Å) after each atom.
Space group P4/nmm (No. 129, origin choice 2)
Inequivalent atoms, fractional coordinates:
Tb  0.2500  0.2500  0.1449 [2 per cell]  5 Ge 2.99-3.14
Ho  0.2500  0.7500  0.5000 [2 per cell]  4 Ho 3.08, 4 Ge 3.13
Ge  0.2500  0.2500  0.7762 [2 per cell]  5 Tb 2.99-3.14, 4 Ho 3.13

## Properties
**ΔH_f (0 K)**: -0.609 eV per atom
**Raw total energy**: -0.383 Ry/atom

Entry 9:
Density functional theory data (PBE) for a geometry-optimized Tb2Nd2Ru3 structure.

abc: 13.2355 4.4889 5.9295
angles: 90.00 95.04 90.00
With the nearest neighbours (Å) after each atom.
Space group C2/m (No. 12)
Inequivalent atoms, fractional coordinates:
Tb  0.1011  0.0000  0.3412 [4 per cell]  5 Ru 2.76-2.88
Nd  0.1517  0.5000  0.8521 [4 per cell]  4 Ru 2.77-3.07
Ru  0.0000  0.5000  0.5000 [2 per cell]  2 Nd 2.77, 4 Tb 2.82
Ru  0.2220  0.5000  0.3386 [4 per cell]  3 Tb 2.76-2.88, 3 Nd 2.95-3.07, 2 Ru 3.00

## Properties
**ΔH_f (0 K)**: -0.109 eV per atom
**Raw total energy**: -0.498 Ry/atom

Entry 10:
Density functional theory data (PBE) for a geometry-optimized CaPuTlGe structure.

abc: 7.4933 7.4933 7.4933
angles: 90.00 90.00 90.00
With the nearest neighbours (Å) after each atom.
Space group F-43m (No. 216)
Inequivalent atoms, fractional coordinates:
Ca  0.0000  0.0000  0.0000 [4 per cell]  4 Ge 3.24, 4 Tl 3.24
Pu  0.0000  0.0000  0.5000 [4 per cell]  4 Ge 3.24, 4 Tl 3.24
Tl  0.2500  0.2500  0.2500 [4 per cell]  4 Ca 3.24, 4 Pu 3.24
Ge  0.2500  0.2500  0.7500 [4 per cell]  4 Ca 3.24, 4 Pu 3.24

## Properties
**ΔH_f (0 K)**: -0.256 eV per atom
**Raw total energy**: -0.447 Ry/atom

Entry 11:
Density functional theory data (PBE) for a geometry-optimized KAs2AuSe structure.

abc: 5.5320 5.5320 5.4942
angles: 90.00 90.00 90.00
With the nearest neighbours (Å) after each atom.
Space group P4/mmm (No. 123)
Inequivalent atoms, fractional coordinates:
K  0.0000  0.0000  0.0000 [1 per cell]  2 Se 2.75, 4 As 2.77
As  0.0000  0.5000  0.0000 [2 per cell]  2 K 2.77
Au  0.5000  0.5000  0.5000 [1 per cell]  8 As 3.90, 4 Se 3.91
Se  0.0000  0.0000  0.5000 [1 per cell]  2 K 2.75

## Properties
**ΔE_f (raw)**: 1575.4 meV per atom
**Raw total energy**: -0.136 Ry/atom

Entry 12:
Density functional theory data (PBE) for a geometry-optimized Na2MgPb6 structure.

abc: 11.8805 12.4891 7.4184
angles: 90.00 95.80 90.00
With the nearest neighbours (Å) after each atom.
Space group C2/c (No. 15)
Inequivalent atoms, fractional coordinates:
Na  0.1638  0.0340  0.3309 [8 per cell]  8 Pb 3.31-3.69
Mg  0.0000  0.3647  0.2500 [4 per cell]  8 Pb 3.08-3.25
Pb  0.0301  0.1747  0.9814 [8 per cell]  1 Mg 3.14, 4 Pb 3.27-3.44, 3 Na 3.31-3.39
Pb  0.1171  0.4181  0.9085 [8 per cell]  2 Mg 3.08-3.22, 2 Pb 3.27-3.30, 2 Na 3.35-3.41
Pb  0.2391  0.2160  0.7168 [8 per cell]  1 Mg 3.25, 6 Pb 3.30-3.63, 2 Na 3.36-3.38

## Properties
**ΔH_f (0 K)**: -0.026 eV per atom
**Raw total energy**: -0.218 Ry/atom

Entry 13:
Density functional theory data (PBE) for a geometry-optimized CuTcP structure.

abc: 2.8970 2.8970 5.7789
angles: 90.00 90.00 120.00
With the nearest neighbours (Å) after each atom.
Space group P3m1 (No. 156)
Inequivalent atoms, fractional coordinates:
Cu  0.0000  0.0000  0.0000 [1 per cell]  3 P 2.57, 3 Tc 2.75
Tc  0.3333  0.6667  0.6228 [1 per cell]  3 P 2.35
P  0.6667  0.3333  0.3367 [1 per cell]  3 Tc 2.35, 3 Cu 2.57

## Properties
**ΔH_f (0 K)**: 0.086 eV per atom
**Raw total energy**: -0.481 Ry/atom

Entry 14:
Density functional theory data (PBE) for a geometry-optimized InMoI2 structure.

abc: 7.4290 7.4290 7.4290
angles: 90.00 90.00 90.00
With the nearest neighbours (Å) after each atom.
Space group Fm-3m (No. 225)
Inequivalent atoms, fractional coordinates:
In  0.0000  0.0000  0.0000 [4 per cell]  8 I 3.22
Mo  0.0000  0.0000  0.5000 [4 per cell]  8 I 3.22
I  0.2500  0.2500  0.2500 [8 per cell]  4 In 3.22, 4 Mo 3.22

## Properties
**ΔE_f (raw)**: 844.7 meV per atom
**Raw total energy**: -0.244 Ry/atom

Entry 15:
Density functional theory data (PBE) for a geometry-optimized SrAsI3 structure.

abc: 5.8182 5.8182 5.8182
angles: 90.00 90.00 90.00
With the nearest neighbours (Å) after each atom.
Space group Pm-3m (No. 221)
Inequivalent atoms, fractional coordinates:
Sr  0.0000  0.0000  0.0000 [1 per cell]  12 I 4.11
As  0.5000  0.5000  0.5000 [1 per cell]  6 I 2.91
I  0.0000  0.5000  0.5000 [3 per cell]  2 As 2.91

## Properties
**ΔE_f (raw)**: -487.7 meV per atom
**Raw total energy**: -0.197 Ry/atom

Entry 16:
Density functional theory data (PBE) for a geometry-optimized Na4VCl6 structure.

abc: 11.3884 11.3884 13.5448
angles: 90.00 90.00 120.00
With the nearest neighbours (Å) after each atom.
Space group R-3c (No. 167, hexagonal axes)
Inequivalent atoms, fractional coordinates:
Na  0.0000  0.0000  0.2500 [6 per cell]  6 Cl 2.82
Na  0.0000  0.3737  0.2500 [18 per cell]  8 Cl 2.96-3.31
V  0.0000  0.0000  0.0000 [6 per cell]  6 Cl 2.48
Cl  0.0405  0.1950  0.3947 [36 per cell]  1 V 2.48

## Properties
**ΔE_f (raw)**: -1575.3 meV per atom
**Raw total energy**: -0.286 Ry/atom

Entry 17:
Density functional theory data (PBE) for a geometry-optimized NbTeSN2 structure.

abc: 3.9000 3.9000 4.9443
angles: 90.00 90.00 90.00
With the nearest neighbours (Å) after each atom.
Space group P4/mmm (No. 123)
Inequivalent atoms, fractional coordinates:
Nb  0.0000  0.0000  0.0000 [1 per cell]  4 Te 2.76
Te  0.5000  0.5000  0.0000 [1 per cell]  2 S 2.47, 4 Nb 2.76
S  0.5000  0.5000  0.5000 [1 per cell]  4 N 1.95
N  0.0000  0.5000  0.5000 [2 per cell]  2 S 1.95

## Properties
**ΔE_f (raw)**: 1713.8 meV per atom
**Raw total energy**: -0.374 Ry/atom

Entry 18:
Density functional theory data (PBE) for a geometry-optimized CaPaHgBr6 structure.

abc: 7.4282 7.4282 18.4709
angles: 90.00 90.00 120.00
With the nearest neighbours (Å) after each atom.
Space group P-31c (No. 163)
Inequivalent atoms, fractional coordinates:
Ca  0.3333  0.6667  0.2500 [2 per cell]  6 Br 2.92
Pa  0.3333  0.6667  0.7500 [2 per cell]  6 Br 2.82
Hg  0.0000  0.0000  0.0000 [2 per cell]  6 Br 4.04
Br  0.0105  0.3700  0.6620 [12 per cell]  1 Pa 2.82, 1 Ca 2.92

## Properties
**ΔE_f (raw)**: -1484.6 meV per atom
**Raw total energy**: -0.287 Ry/atom

Entry 19:
Density functional theory data (PBE) for a geometry-optimized VP2S6 structure.

abc: 12.0769 10.3951 5.7462
angles: 90.00 103.70 90.00
With the nearest neighbours (Å) after each atom.
Space group C2/c (No. 15)
Inequivalent atoms, fractional coordinates:
V  0.0000  0.0640  0.2500 [4 per cell]  4 S 2.31-2.36
P  0.1959  0.4061  0.2989 [8 per cell]  3 S 2.00-2.15
S  0.1099  0.0971  0.6426 [8 per cell]  1 P 2.29, 2 V 2.31-2.36
S  0.1223  0.2509  0.1214 [8 per cell]  1 P 2.00
S  0.1298  0.4218  0.6073 [8 per cell]  2 P 2.11-2.15

## Properties
**ΔE_f (raw)**: -177.8 meV per atom
**Raw total energy**: -0.378 Ry/atom

Entry 20:
Density functional theory data (PBE) for a geometry-optimized NaAlGeO4 structure.

abc: 6.3269 9.4928 5.9932
angles: 90.00 90.00 90.00
With the nearest neighbours (Å) after each atom.
Space group Cmcm (No. 63)
Inequivalent atoms, fractional coordinates:
Na  0.0000  0.0000  0.0000 [4 per cell]  6 O 2.41-2.50
Al  0.0000  0.3635  0.2500 [4 per cell]  4 O 1.78-1.82
Ge  0.0000  0.3651  0.7500 [4 per cell]  4 O 1.77-1.81
O  0.0000  0.2633  0.5019 [8 per cell]  1 Ge 1.77, 1 Al 1.78
O  0.2025  0.5001  0.2500 [8 per cell]  1 Ge 1.81, 1 Al 1.82

## Properties
**ΔE_f (raw)**: -2121.6 meV per atom
**Raw total energy**: -0.466 Ry/atom